Run a
Below is ScAlHg after structural relaxation, with properties calculated at the PBE level.

Summary:
As for the symmetry: P6_3/mmc, No. 194. The calculation puts the density of states at the Fermi level at 0.477 states/eV per atom. The volume is 122 Å³/cell.

Lattice parameters (Å, degrees): 4.8686 4.8686 5.9391 90.00 90.00 120.00
Last column: nearest neighbours and their distance in Å.
Fractional positions:
1 Al 0.6667 0.3333 0.7500  5 Sc 2.81-2.97
2 Al 0.3333 0.6667 0.2500  5 Sc 2.81-2.97
3 Sc 0.6667 0.3333 0.2500  5 Al 2.81-2.97
4 Sc 0.3333 0.6667 0.7500  5 Al 2.81-2.97
5 Hg 0.0000 0.0000 0.5000  2 Hg 2.97, 6 Al 3.18, 6 Sc 3.18
6 Hg 0.0000 0.0000 0.0000  2 Hg 2.97, 6 Sc 3.18, 6 Al 3.18



Run b
Below is ScAlHg after structural relaxation, with properties calculated at the PBE level.

Summary:
As for the symmetry: P3m1, No. 156. The calculation puts the density of states at the Fermi level at 0.617 states/eV per atom. The volume is 65 Å³/cell.

Lattice parameters (Å, degrees): 3.3457 3.3457 6.7162 90.00 90.00 120.00
Last column: nearest neighbours and their distance in Å.
Fractional positions:
1 Hg 0.6667 0.3333 0.3274  3 Al 2.91, 3 Sc 3.01
2 Al 0.0000 0.0000 0.0023  3 Hg 2.91, 3 Sc 2.95
3 Sc 0.3333 0.6667 0.6703  3 Al 2.95, 3 Hg 3.01



Run c
Below is ScAlHg after structural relaxation, with properties calculated at the PBE level.

Summary:
As for the symmetry: Pmma, No. 51. The calculation puts the density of states at the Fermi level at 0.775 states/eV per atom. The volume is 121 Å³/cell.

Lattice parameters (Å, degrees): 3.2151 4.6942 8.0041 90.00 90.01 90.00
Last column: nearest neighbours and their distance in Å.
Fractional positions:
1 Sc 0.1469 0.5194 0.6592  6 Al 2.95-3.12, 4 Hg 3.15, 2 Sc 3.22
2 Sc 0.1472 0.0194 0.1280  6 Al 2.95-3.12, 4 Hg 3.15, 2 Sc 3.22
3 Al 0.6472 0.5193 0.9675  2 Al 2.63, 1 Hg 2.64
4 Al 0.6471 0.0193 0.8197  2 Al 2.63, 1 Hg 2.64
5 Hg 0.6476 0.5194 0.2969  1 Al 2.64, 2 Hg 2.81
6 Hg 0.6462 0.0194 0.4902  1 Al 2.64, 2 Hg 2.81



Verdict on stability: run b comes out at the bottom.



Run a
Below is ScAlHg after structural relaxation, with properties calculated at the PBE level.

Summary:
As for the symmetry: P2_1/m, No. 11. The calculation puts the density of states at the Fermi level at 0.375 states/eV per atom. The volume is 121 Å³/cell.

Lattice parameters (Å, degrees): 4.4762 3.2737 8.3945 78.86 90.00 90.00
Last column: nearest neighbours and their distance in Å.
Fractional positions:
1 Hg 0.0268 0.4744 0.4832  1 Al 2.71
2 Hg 0.5268 0.0678 0.3040  1 Al 2.71
3 Al 0.0268 0.3115 0.8128  2 Al 2.60, 1 Hg 2.71
4 Al 0.5268 0.2310 0.9743  2 Al 2.60, 1 Hg 2.71
5 Sc 0.0268 0.6643 0.1098  6 Al 2.94-2.99, 5 Hg 3.08-3.20, 2 Sc 3.27
6 Sc 0.5268 0.8782 0.6774  6 Al 2.94-2.99, 5 Hg 3.08-3.20, 2 Sc 3.27



Run b
Below is ScAlHg after structural relaxation, with properties calculated at the PBE level.

Summary:
As for the symmetry: Pnma, No. 62. The calculation puts the density of states at the Fermi level at 0.629 states/eV per atom. The volume is 244 Å³/cell.

Lattice parameters (Å, degrees): 6.1929 4.3988 8.9560 90.00 90.00 90.00
Last column: nearest neighbours and their distance in Å.
Fractional positions:
1 Hg 0.4294 0.2500 0.7576  3 Al 2.88-2.94, 5 Sc 3.00-3.16, 2 Hg 3.10
2 Hg 0.9294 0.2500 0.7424  3 Al 2.88-2.94, 5 Sc 3.00-3.16, 2 Hg 3.10
3 Hg 0.0706 0.7500 0.2576  3 Al 2.88-2.94, 5 Sc 3.00-3.16, 2 Hg 3.10
4 Hg 0.5706 0.7500 0.2424  3 Al 2.88-2.94, 5 Sc 3.00-3.16, 2 Hg 3.10
5 Sc 0.6420 0.7500 0.5840  5 Al 2.97-3.15, 5 Hg 3.00-3.16, 2 Sc 3.19
6 Sc 0.8580 0.2500 0.0840  5 Al 2.97-3.15, 5 Hg 3.00-3.16, 2 Sc 3.19
7 Sc 0.1420 0.7500 0.9160  5 Al 2.97-3.15, 5 Hg 3.00-3.16, 2 Sc 3.19
8 Sc 0.3580 0.2500 0.4160  5 Al 2.97-3.15, 5 Hg 3.00-3.16, 2 Sc 3.19
9 Al 0.8671 0.2500 0.4241  3 Hg 2.88-2.94, 5 Sc 2.97-3.15, 2 Al 3.07
10 Al 0.3671 0.2500 0.0759  3 Hg 2.88-2.94, 5 Sc 2.97-3.15, 2 Al 3.07
11 Al 0.6329 0.7500 0.9241  3 Hg 2.88-2.94, 5 Sc 2.97-3.15, 2 Al 3.07
12 Al 0.1329 0.7500 0.5759  3 Hg 2.88-2.94, 5 Sc 2.97-3.15, 2 Al 3.07



Verdict on stability: run b comes out at the bottom.



Run a
Below is Sc4AlHg after structural relaxation, with properties calculated at the PBE level.

Summary:
As for the symmetry: C2/m, No. 12. The calculation puts the density of states at the Fermi level at 1.265 states/eV per atom. The volume is 132 Å³/cell.

Lattice parameters (Å, degrees): 3.2212 6.7892 8.1622 123.48 78.62 76.28
Last column: nearest neighbours and their distance in Å.
Fractional positions:
1 Sc 0.8332 0.5089 0.8247  2 Al 3.03, 2 Hg 3.06, 8 Sc 3.15-3.30
2 Sc 0.1668 0.4911 0.1753  2 Al 3.03, 2 Hg 3.06, 8 Sc 3.15-3.30
3 Sc 0.3242 0.0184 0.3331  2 Al 3.02, 2 Hg 3.05, 8 Sc 3.15-3.28
4 Sc 0.6758 0.9816 0.6669  2 Al 3.02, 2 Hg 3.05, 8 Sc 3.15-3.28
5 Al 0.5000 0.5000 0.5000  8 Sc 3.02-3.03, 2 Hg 3.21, 2 Al 3.22
6 Hg 0.0000 0.0000 0.0000  8 Sc 3.05-3.06, 2 Al 3.21, 2 Hg 3.22



Run b
Below is Sc4AlHg after structural relaxation, with properties calculated at the PBE level.

Summary:
As for the symmetry: F-43m, No. 216. The calculation puts the density of states at the Fermi level at 1.047 states/eV per atom. The volume is 136 Å³/cell.

Lattice parameters (Å, degrees): 5.7754 5.7754 5.7754 60.00 60.00 60.00
Last column: nearest neighbours and their distance in Å.
Fractional positions:
1 Al 0.7500 0.7500 0.7500  12 Sc 3.38, 4 Hg 3.54
2 Sc 0.8726 0.3758 0.3758  6 Sc 2.87-2.91
3 Sc 0.3758 0.3758 0.3758  6 Sc 2.87-2.91
4 Sc 0.3758 0.8726 0.3758  6 Sc 2.87-2.91
5 Sc 0.3758 0.3758 0.8726  6 Sc 2.87-2.91
6 Hg 0.0000 0.0000 0.0000  12 Sc 3.39, 4 Al 3.54



Run c
Below is Sc4AlHg after structural relaxation, with properties calculated at the PBE level.

Summary:
As for the symmetry: R-3m, No. 166. The calculation puts the density of states at the Fermi level at 1.318 states/eV per atom. The volume is 152 Å³/cell.

Lattice parameters (Å, degrees): 4.7433 4.7434 8.2897 73.41 73.38 60.00
Last column: nearest neighbours and their distance in Å.
Fractional positions:
1 Sc 0.8746 0.8744 0.3765  3 Al 2.90, 1 Hg 2.95
2 Sc 0.1254 0.1256 0.6235  3 Al 2.90, 1 Hg 2.95
3 Sc 0.6233 0.6233 0.1301  1 Al 2.89, 3 Hg 2.92
4 Sc 0.3767 0.3767 0.8699  1 Al 2.89, 3 Hg 2.92
5 Hg 0.0000 0.0000 0.0000  8 Sc 2.92-2.95
6 Al 0.5000 0.5000 0.5000  8 Sc 2.89-2.90



Verdict on stability: run b comes out at the bottom.



Run a
Below is Sc6AlHg after structural relaxation, with properties calculated at the PBE level.

Summary:
As for the symmetry: P4/mmm, No. 123. The calculation puts the density of states at the Fermi level at 1.287 states/eV per atom. The volume is 176 Å³/cell.

Lattice parameters (Å, degrees): 4.4462 4.4462 8.9026 90.00 90.00 90.00
Last column: nearest neighbours and their distance in Å.
Fractional positions:
1 Hg 0.0000 0.0000 0.0000  12 Sc 3.14-3.17
2 Sc 0.0000 0.5000 0.2546  8 Sc 3.12-3.17, 2 Al 3.12, 2 Hg 3.17
3 Sc 0.5000 0.5000 0.0000  4 Hg 3.14, 8 Sc 3.17
4 Sc 0.5000 0.0000 0.7454  8 Sc 3.12-3.17, 2 Al 3.12, 2 Hg 3.17
5 Sc 0.0000 0.5000 0.7454  8 Sc 3.12-3.17, 2 Al 3.12, 2 Hg 3.17
6 Sc 0.5000 0.0000 0.2546  8 Sc 3.12-3.17, 2 Al 3.12, 2 Hg 3.17
7 Sc 0.5000 0.5000 0.5000  8 Sc 3.12, 4 Al 3.14
8 Al 0.0000 0.0000 0.5000  12 Sc 3.12-3.14



Run b
Below is Sc6AlHg after structural relaxation, with properties calculated at the PBE level.

Summary:
As for the symmetry: C2/m, No. 12. The calculation puts the density of states at the Fermi level at 1.590 states/eV per atom. The volume is 199 Å³/cell.

Lattice parameters (Å, degrees): 5.0824 5.0824 8.3948 75.75 75.75 75.13
Last column: nearest neighbours and their distance in Å.
Fractional positions:
1 Sc 0.0659 0.5594 0.3057  2 Al 2.97-2.99, 1 Hg 2.99, 5 Sc 3.06-3.21
2 Sc 0.3567 0.3567 0.9393  1 Hg 2.76, 1 Sc 2.80
3 Sc 0.6433 0.6433 0.0607  1 Hg 2.76, 1 Sc 2.80
4 Sc 0.5594 0.0659 0.3057  2 Al 2.97-2.99, 1 Hg 2.99, 5 Sc 3.06-3.21
5 Sc 0.4406 0.9341 0.6943  2 Al 2.97-2.99, 1 Hg 2.99, 5 Sc 3.06-3.21
6 Sc 0.9341 0.4406 0.6943  2 Al 2.97-2.99, 1 Hg 2.99, 5 Sc 3.06-3.21
7 Hg 0.0000 0.0000 0.0000  6 Sc 2.76-2.99
8 Al 0.5000 0.5000 0.5000  8 Sc 2.97-2.99



Verdict on stability: run b comes out at the bottom.



Run a
Below is AlHgSe2 after structural relaxation, with properties calculated at the PBE level.

Summary:
As for the symmetry: R3m, No. 160. The calculation puts the density of states at the Fermi level at 0.595 states/eV per atom. The volume is 95 Å³/cell.

Lattice parameters (Å, degrees): 8.1452 8.1452 8.1452 26.46 26.46 26.46
Last column: nearest neighbours and their distance in Å.
Fractional positions:
1 Se 0.0151 0.0151 0.0151  3 Hg 2.76
2 Se 0.2245 0.2245 0.2245  3 Al 2.49
3 Hg 0.7554 0.7554 0.7554  3 Se 2.76, 3 Al 2.91
4 Al 0.5050 0.5050 0.5050  3 Se 2.49



Run b
Below is AlHgSe2 after structural relaxation, with properties calculated at the PBE level.

Summary:
As for the symmetry: R-3m, No. 166. The calculation puts the density of states at the Fermi level at 0.330 states/eV per atom. The volume is 91 Å³/cell.

Lattice parameters (Å, degrees): 12.2959 12.2959 12.2959 13.72 13.72 13.72
Last column: nearest neighbours and their distance in Å.
Fractional positions:
1 Se 0.0714 0.0714 0.0714  1 Al 2.61
2 Se 0.9286 0.9286 0.9286  1 Al 2.61
3 Hg 0.5000 0.5000 0.5000  6 Hg 2.94
4 Al 0.0000 0.0000 0.0000  2 Se 2.61



Verdict on stability: run b comes out at the bottom.



Run a
Below is AlSi2Hg after structural relaxation, with properties calculated at the PBE level.

Summary:
As for the symmetry: R3m, No. 160. The calculation puts the density of states at the Fermi level at 0.247 states/eV per atom. The volume is 77 Å³/cell.

Lattice parameters (Å, degrees): 10.0931 10.0931 10.0931 17.06 17.06 17.06
Last column: nearest neighbours and their distance in Å.
Fractional positions:
1 Hg 0.7524 0.7524 0.7524  6 Hg 2.99
2 Si 0.2522 0.2522 0.2522  3 Si 2.49, 3 Al 2.68
3 Si 0.9787 0.9787 0.9787  3 Si 2.49
4 Al 0.5167 0.5167 0.5167  3 Si 2.68, 6 Al 2.99



Run b
Below is AlSi2Hg after structural relaxation, with properties calculated at the PBE level.

Summary:
As for the symmetry: C2/m, No. 12. The calculation puts the density of states at the Fermi level at 0.429 states/eV per atom. The volume is 73 Å³/cell.

Lattice parameters (Å, degrees): 6.0234 6.0234 4.7546 66.35 66.35 27.83
Last column: nearest neighbours and their distance in Å.
Fractional positions:
1 Si 0.9661 0.9661 0.0327  2 Al 2.72, 6 Si 2.86-2.90
2 Si 0.5339 0.5339 0.4673  2 Al 2.72, 6 Si 2.86-2.90
3 Al 0.2500 0.2500 0.2500  4 Si 2.72, 4 Hg 2.78, 2 Al 2.90
4 Hg 0.7500 0.7500 0.7500  4 Al 2.78, 2 Hg 2.90



Verdict on stability: run b comes out at the bottom.



Run a
Below is AlSi2Hg after structural relaxation, with properties calculated at the PBE level.

Summary:
As for the symmetry: Imm2, No. 44. The calculation puts the density of states at the Fermi level at 0.339 states/eV per atom. The volume is 73 Å³/cell.

Lattice parameters (Å, degrees): 5.8904 5.8904 5.8904 151.44 130.85 57.83
Last column: nearest neighbours and their distance in Å.
Fractional positions:
1 Si 0.9633 0.9633 0.0000  2 Si 2.56
2 Si 0.7589 0.2589 0.5000  2 Si 2.56, 2 Al 2.76, 4 Hg 2.85
3 Hg 0.2470 0.7470 0.5000  4 Si 2.85, 2 Hg 2.91
4 Al 0.5308 0.5308 0.0000  6 Si 2.76-2.93, 2 Al 2.91



Run b
Below is AlSi2Hg after structural relaxation, with properties calculated at the PBE level.

Summary:
As for the symmetry: Cmmm, No. 65. The calculation puts the density of states at the Fermi level at 0.346 states/eV per atom. The volume is 77 Å³/cell.

Lattice parameters (Å, degrees): 2.8098 2.8098 9.6973 90.00 90.00 90.16
Last column: nearest neighbours and their distance in Å.
Fractional positions:
1 Si 0.0000 0.0000 0.4453  4 Al 2.74-2.75, 4 Si 2.81
2 Si 0.0000 0.0000 0.0547  4 Al 2.74-2.75, 4 Si 2.81
3 Hg 0.5000 0.5000 0.7500  4 Hg 2.81
4 Al 0.5000 0.5000 0.2500  8 Si 2.74-2.75, 4 Al 2.81



Verdict on stability: run a comes out at the bottom.



Run a
Below is AlSi2Hg after structural relaxation, with properties calculated at the PBE level.

Summary:
As for the symmetry: P-1, No. 2. The calculation puts the density of states at the Fermi level at 0.377 states/eV per atom. The volume is 74 Å³/cell.

Lattice parameters (Å, degrees): 3.8961 5.6632 3.7625 71.19 88.94 108.93
Last column: nearest neighbours and their distance in Å.
Fractional positions:
1 Hg 0.5000 0.5000 0.0000  4 Al 2.68-2.73, 4 Si 2.85-2.87
2 Si 0.0000 0.0000 0.0000  4 Si 2.68-2.73, 2 Al 2.85, 2 Hg 2.87
3 Si 0.5000 0.0000 0.5000  4 Si 2.68-2.73, 2 Hg 2.85, 2 Al 2.87
4 Al 0.0000 0.5000 0.5000  4 Hg 2.68-2.73, 4 Si 2.85-2.87



Run b
Below is AlSi2Hg after structural relaxation, with properties calculated at the PBE level.

Summary:
As for the symmetry: I-42d, No. 122. The calculation puts the density of states at the Fermi level at 0.391 states/eV per atom. The volume is 178 Å³/cell.

Lattice parameters (Å, degrees): 4.8937 4.8937 8.1831 72.60 72.60 90.00
Last column: nearest neighbours and their distance in Å.
Fractional positions:
1 Hg 0.7500 0.2500 0.5000  4 Si 2.59
2 Hg 0.0000 0.0000 0.0000  4 Si 2.59
3 Si 0.8750 0.8510 0.7500  2 Al 2.48, 2 Hg 2.59
4 Si 0.6010 0.1250 0.2500  2 Al 2.48, 2 Hg 2.59
5 Si 0.3750 0.3990 0.7500  2 Al 2.48, 2 Hg 2.59
6 Si 0.1490 0.6250 0.2500  2 Al 2.48, 2 Hg 2.59
7 Al 0.2500 0.7500 0.5000  4 Si 2.48
8 Al 0.5000 0.5000 0.0000  4 Si 2.48



Verdict on stability: run b comes out at the bottom.